DFT (PBE) results for an optimized crystal structure of NbInPCl2.

Summary:
Fermi-level density of states, states/eV per cell: 7.0
Formation energy (no corrections), meV per atom: 607
Electronic total energy, eV/atom: -3.7750
Relative energy among the computed polymorphs, meV per atom: 1017

Cell and atoms, written as POSCAR:
```
NbInPCl2
1.0
4.983 0.000 0.000
0.000 4.983 0.000
0.000 0.000 5.241
Nb In P Cl
1 1 1 2
Cartesian
0.000 0.000 0.000
2.491 2.491 2.621
2.491 2.491 0.000
0.000 2.491 2.621
2.491 0.000 2.621
```


DFT (PBE) results for an optimized crystal structure of TbTm3Sb2C.

Summary:
Fermi-level density of states, states/eV per cell: 5.3
Formation energy (no corrections), meV per atom: -744
Electronic total energy, eV/atom: -5.8170

Cell and atoms, written as POSCAR:
```
TbTm3Sb2C
1.0
-2.362 2.404 7.764
2.362 -2.404 7.764
2.362 2.404 -7.764
Tb Tm Sb C
1 3 2 1
Cartesian
0.000 0.000 0.000
2.362 0.000 5.345
0.000 0.000 7.764
0.000 2.404 2.419
2.362 0.000 2.232
0.000 2.404 5.532
0.000 2.404 0.000
```


DFT (PBE) results for an optimized crystal structure of HoTl3Ge2Te6.

Summary:
Fermi-level density of states, states/eV per cell: 12.0
Formation energy (no corrections), meV per atom: -401
Electronic total energy, eV/atom: -3.7144

Cell and atoms, written as POSCAR:
```
HoTl3Ge2Te6
1.0
3.836 -6.619 0.000
3.836 6.619 0.000
-2.534 0.000 7.598
Ho Tl Ge Te
1 3 2 6
Cartesian
0.000 0.000 0.000
2.569 4.460 3.799
2.569 0.000 3.799
2.569 -4.460 3.799
3.836 2.218 0.000
3.836 -2.218 0.000
1.303 2.247 1.618
0.064 0.000 5.983
1.303 -2.247 1.618
3.836 2.247 5.981
5.075 0.000 1.615
3.836 -2.247 5.981
```


DFT (PBE) results for an optimized crystal structure of BaSb2TeS.

Summary:
Fermi-level density of states, states/eV per cell: 2.5
Formation energy (no corrections), meV per atom: -272
Electronic total energy, eV/atom: -3.7595
Relative energy among the computed polymorphs, meV per atom: 0

Cell and atoms, written as POSCAR:
```
BaSb2TeS
1.0
5.381 0.000 0.000
0.000 5.381 0.000
0.000 0.000 5.498
Ba Sb Te S
1 2 1 1
Cartesian
0.000 0.000 0.000
0.000 2.691 2.749
2.691 0.000 2.749
2.691 2.691 0.000
2.691 2.691 2.749
```


DFT (PBE) results for an optimized crystal structure of Ti4AlCo.

Summary:
Fermi-level density of states, states/eV per cell: 6.7
Formation energy from the elements, eV/atom: 0.138
Electronic total energy, eV/atom: -6.9335

Cell and atoms, written as POSCAR:
```
Ti4AlCo
1.0
4.128 0.000 0.000
0.000 4.126 0.000
-0.010 0.000 6.315
Ti Al Co
4 1 1
Cartesian
4.124 0.000 1.423
-0.006 0.000 4.892
2.060 2.063 1.424
2.059 2.063 4.892
-0.005 2.063 3.158
2.064 0.000 0.000
```


DFT (PBE) results for an optimized crystal structure of SmPuZnSi.

Summary:
Fermi-level density of states, states/eV per cell: 9.3
Formation energy (no corrections), meV per atom: -294
Electronic total energy, eV/atom: -6.7307

Cell and atoms, written as POSCAR:
```
SmPuZnSi
1.0
0.000 3.568 3.568
3.568 0.000 3.568
3.568 3.568 0.000
Sm Pu Zn Si
1 1 1 1
Cartesian
0.000 0.000 0.000
3.568 3.568 3.568
1.784 1.784 1.784
5.352 5.352 5.352
```


Q: Look up the Fermi-level density of states of the sixth one.
A: 9.3 states/eV per cell